Compound: TiMnSnB2
Source: Alexandria via LeMat-Bulk
Functional: PBE-GGA
Structure: relaxed

Output
* total DFT energy (no corrections): -25.8 eV per formula unit
* size of the total moment: 0.215 μB/f.u.

Cell and atoms, written as CIF:
```
data_TiMnSnB2
_space_group_name_H-M_alt 'P 4/m m m'
_space_group_IT_number 123
_space_group_name_Hall '-P 4 2'
_cell_length_a 4.152
_cell_length_b 4.152
_cell_length_c 5.166
_cell_angle_alpha 90.00
_cell_angle_beta 90.00
_cell_angle_gamma 90.00
loop_
_atom_site_label
_atom_site_type_symbol
_atom_site_fract_x
_atom_site_fract_y
_atom_site_fract_z
_atom_site_occupancy
Ti1 Ti 0.000 0.000 0.000 1
Mn1 Mn 0.500 0.500 0.500 1
Sn1 Sn 0.000 0.000 0.500 1
B1 B 0.000 0.500 0.000 1
```



Compound: SrMnB3
Source: Alexandria via LeMat-Bulk
Functional: PBE-GGA
Structure: relaxed

Output
* total DFT energy (no corrections): -29.7 eV per formula unit
* size of the total moment: 0.000 μB/f.u.

Cell and atoms, written as CIF:
```
data_SrMnB3
_space_group_name_H-M_alt 'P m -3 m'
_space_group_IT_number 221
_space_group_name_Hall '-P 4 2 3'
_cell_length_a 3.996
_cell_length_b 3.996
_cell_length_c 3.996
_cell_angle_alpha 90.00
_cell_angle_beta 90.00
_cell_angle_gamma 90.00
loop_
_atom_site_label
_atom_site_type_symbol
_atom_site_fract_x
_atom_site_fract_y
_atom_site_fract_z
_atom_site_occupancy
Sr1 Sr 0.000 0.000 0.000 1
Mn1 Mn 0.500 0.500 0.500 1
B1 B 0.000 0.500 0.500 1
```



Compound: SrMnTc2B
Source: Alexandria via LeMat-Bulk
Functional: PBE-GGA
Structure: relaxed

Output
* total DFT energy (no corrections): -32.9 eV per formula unit
* size of the total moment: 0.193 μB/f.u.

Cell and atoms, written as CIF:
```
data_SrMnTc2B
_space_group_name_H-M_alt 'P 4/m m m'
_space_group_IT_number 123
_space_group_name_Hall '-P 4 2'
_cell_length_a 4.139
_cell_length_b 4.139
_cell_length_c 5.004
_cell_angle_alpha 90.00
_cell_angle_beta 90.00
_cell_angle_gamma 90.00
loop_
_atom_site_label
_atom_site_type_symbol
_atom_site_fract_x
_atom_site_fract_y
_atom_site_fract_z
_atom_site_occupancy
Sr1 Sr 0.000 0.000 0.000 1
Mn1 Mn 0.500 0.500 0.000 1
Tc1 Tc 0.000 0.500 0.500 1
B1 B 0.000 0.000 0.500 1
```